Zr2Al3C4 | Alexandria via LeMat-Bulk | GGA-PBE | relaxed; total magnetization = 0.00 μB/f.u.; space group = P-3m1 (164); formation enthalpy at 0 K = -232 meV per atom; energy above the most stable polymorph in this dataset = 224 meV/atom; uncorrected energy = -7.4784 eV per atom
1.0
3.303 0.000 0.000
-1.652 2.861 0.000
0.000 0.000 23.202
Zr Al C
4 6 8
Direct
0.333 0.667 0.056
0.333 0.667 0.441
0.667 0.333 0.559
0.667 0.333 0.944
0.000 0.000 0.154
0.000 0.000 0.340
0.000 0.000 0.660
0.000 0.000 0.846
0.333 0.667 0.752
0.667 0.333 0.248
0.000 0.000 0.000
0.000 0.000 0.500
0.333 0.667 0.265
0.333 0.667 0.621
0.333 0.667 0.873
0.667 0.333 0.127
0.667 0.333 0.379
0.667 0.333 0.735